Entry from Alexandria via LeMat-Bulk: a geometry-optimized Sr2AgGe2 structure (PBE).

Unit cell a=6.2152 b=6.2152 c=11.5222 alpha=116.50 beta=116.50 gamma=44.09
Positions (direct):
Sr 0.0921 0.0921 0.3972
Sr 0.2957 0.2957 0.8415
Sr 0.7043 0.7043 0.1585
Sr 0.9079 0.9079 0.6028
Ag 0.4174 0.4174 0.1734
Ag 0.5826 0.5826 0.8266
Ge 0.0548 0.0548 0.9296
Ge 0.3833 0.3833 0.3929
Ge 0.6167 0.6167 0.6071
Ge 0.9452 0.9452 0.0704

## Properties
formation energy from the elements: -0.518 eV per atom
DOS(E_F): 3.82 states/eV per cell
size of the total moment: 0.000 μB per formula unit
space group: C2/m (12)

Entry from Alexandria via LeMat-Bulk: a geometry-optimized Ba2TlTc structure (PBE).

Unit cell a=8.5049 b=8.5049 c=8.5049 alpha=95.88 beta=95.88 gamma=142.66
Positions (direct):
Ba 0.3750 0.1835 0.3085
Ba 0.8165 0.1250 0.1915
Ba 0.8750 0.0665 0.6915
Ba 0.9335 0.6250 0.8085
Tl 0.2500 0.7500 0.5000
Tl 0.5000 0.5000 0.0000
Tc 0.0000 0.0000 0.0000
Tc 0.7500 0.2500 0.5000

## Properties
formation energy from the elements: 0.466 eV per atom
DOS(E_F): 9.29 states/eV per cell
size of the total moment: 0.000 μB per formula unit
space group: I-42d (122)